# TbPm3Te6

A relaxed TbPm3Te6 crystal (GGA-PBE, the Alexandria database).

```
TbPm3Te6
1.0
-1.6109 -0.3990 7.2366
-3.5772 -7.3461 -1.2013
9.9339 -5.1304 1.7929
Tb Pm Te
2 6 12
direct
0.5000 0.5000 0.5000
0.0000 0.0000 0.0000
0.5528 0.8798 0.7476
0.5000 0.5000 0.0000
0.4472 0.1202 0.2524
0.0528 0.6202 0.2476
0.0000 0.0000 0.5000
0.9472 0.3798 0.7524
0.6631 0.1736 0.9185
0.6582 0.1774 0.5801
0.6658 0.4466 0.2536
0.3342 0.5534 0.7464
0.3418 0.8226 0.4199
0.3369 0.8264 0.0815
0.1631 0.3264 0.4185
0.1582 0.3226 0.0801
0.1658 0.0534 0.7536
0.8342 0.9466 0.2464
0.8418 0.6774 0.9199
0.8369 0.6736 0.5815
```

E_form (uncorrected) = -1.3846 eV per atom